! BaBeAs2 | Alexandria | PBEsol | relaxed; values from VASP
&SYSTEM
  ibrav = 0, nat = 4, ntyp = 3
/
ATOMIC_SPECIES
Ba 137.33 Ba.upf
Be 9.01 Be.upf
As 74.92 As.upf
CELL_PARAMETERS angstrom
-1.8028 2.7531 4.7400
1.8028 -2.7531 4.7400
1.8028 2.7531 -4.7400
ATOMIC_POSITIONS crystal
Ba 0.0000 0.0000 0.0000
Be 0.3203 0.8203 0.5000
As 0.4579 0.4579 0.0000
As 0.6918 0.1918 0.5000
! Energy of formation ... 0.03 eV per atom

! Zn2Te | Alexandria | PBEsol | relaxed; values from VASP
&SYSTEM
  ibrav = 0, nat = 3, ntyp = 2
/
ATOMIC_SPECIES
Zn 65.41 Zn.upf
Te 127.60 Te.upf
CELL_PARAMETERS angstrom
3.9622 0.0000 0.0000
-1.9811 3.4314 0.0000
0.0000 0.0000 4.5736
ATOMIC_POSITIONS crystal
Zn 0.3333 0.6667 0.3511
Zn 0.6667 0.3333 0.6489
Te 0.0000 0.0000 0.0000
! Excess energy over the best structure of this formula in the dataset ... 34 meV/atom

! NaTiGa2 | Alexandria | PBEsol | relaxed; values from VASP
&SYSTEM
  ibrav = 0, nat = 4, ntyp = 3
/
ATOMIC_SPECIES
Na 22.99 Na.upf
Ti 47.87 Ti.upf
Ga 69.72 Ga.upf
CELL_PARAMETERS angstrom
0.0000 3.2504 3.2504
3.2504 0.0000 3.2504
3.2504 3.2504 0.0000
ATOMIC_POSITIONS crystal
Na 0.0000 0.0000 0.0000
Ti 0.5000 0.5000 0.5000
Ga 0.2500 0.2500 0.2500
Ga 0.7500 0.7500 0.7500
! Energy of formation ... 0.03 eV per atom

! YOs2RhI | Alexandria | PBEsol | relaxed; values from VASP
&SYSTEM
  ibrav = 0, nat = 5, ntyp = 4
/
ATOMIC_SPECIES
Y 88.91 Y.upf
Os 190.23 Os.upf
Rh 102.91 Rh.upf
I 126.90 I.upf
CELL_PARAMETERS angstrom
4.8290 0.0000 0.0000
0.0000 4.8290 0.0000
0.0000 0.0000 5.5201
ATOMIC_POSITIONS crystal
Y 0.0000 0.0000 0.0000
Os 0.0000 0.5000 0.0000
Os 0.5000 0.0000 0.0000
Rh 0.5000 0.5000 0.5000
I 0.0000 0.0000 0.5000
! VASP energy ... -27.781 eV for the cell shown

In order of appearance, size of the total moment = 0.00; 0.00; 0.01; 4.69 μB per formula unit.